Computed, not measured: an optimized crystal structure of RbInAg3 at the PBE level of DFT.

Geometry as extended XYZ:
```
5
Lattice="6.0778 0.0000 0.0000 0.0000 6.0778 0.0000 0.0000 0.0000 6.0778" Properties=species:S:1:pos:R:3 pbc="T T T"
Rb 0.0000 0.0000 0.0000
In 3.0389 3.0389 3.0389
Ag 0.0000 0.0000 3.0389
Ag 0.0000 3.0389 0.0000
Ag 3.0389 0.0000 0.0000
```

Calculated values
theoretical density: 3.87 g/cm3
E: -1.39 eV per atom
energy relative to the lowest polymorph listed for this composition: 1022.8 meV per atom
formation enthalpy at 0 K: 1.065 eV per atom